No. 1
Here is a PBEsol-optimized structure of CrCo2HAu from Alexandria. Energies are from meta-GGA SCAN.

extended XYZ file:
```
5
Lattice="4.6340 0.0000 0.0000 0.0000 4.6340 0.0000 0.0000 0.0000 4.9754" Properties=species:S:1:pos:R:3 pbc="T T T"
Au 0.0000 0.0000 0.0000
Co 0.0000 2.3170 0.0000
H 2.3170 2.3170 2.4877
Co 2.3170 0.0000 0.0000
Cr 0.0000 0.0000 2.4877
```

VASP energy (eV per atom): -23.5705


No. 2
Here is a PBEsol-optimized structure of Zn2SnPd2 from Alexandria. Energies are from meta-GGA SCAN.

extended XYZ file:
```
10
Lattice="-2.4673 -0.1131 1.9407 -1.7146 -6.4200 -2.5539 4.0584 -3.0654 4.9811" Properties=species:S:1:pos:R:3 pbc="T T T"
Pd -0.5120 -4.6073 -0.9194
Pd 1.1788 -2.0269 1.3805
Sn 1.1719 -4.7427 1.2136
Zn 1.1383 -2.9766 3.8159
Pd 2.8558 -4.8781 3.3466
Zn 1.1230 -6.8226 3.5723
Pd 1.1650 -7.4585 1.0466
Zn -1.2466 -2.7758 0.7955
Zn -1.2619 -6.6218 0.5520
Sn 0.0000 0.0000 0.0000
```

Formation energy (meV/atom): -361
VASP energy (eV per atom): -26.0609


No. 3
Here is a PBEsol-optimized structure of P2IrS2 from Alexandria. Energies are from meta-GGA SCAN.

extended XYZ file:
```
5
Lattice="-0.5002 -2.2467 3.6177 -3.5551 -1.7344 -1.5686 2.2852 -3.1825 -1.6605" Properties=species:S:1:pos:R:3 pbc="T T T"
Ir -0.8850 -3.5818 0.1943
P -1.7776 -0.8672 -0.7843
P 1.1426 -1.5912 -0.8302
S 0.0000 0.0000 0.0000
S -0.2501 -1.1234 1.8089
```

Energy relative to the elements, uncorrected (eV per atom): 1.4350
VASP energy (eV per atom): -20.7955


No. 4
Here is a PBEsol-optimized structure of PbWI3 from Alexandria. Energies are from meta-GGA SCAN.

extended XYZ file:
```
5
Lattice="6.0461 0.0000 0.0000 0.0000 6.0461 0.0000 0.0000 0.0000 6.0461" Properties=species:S:1:pos:R:3 pbc="T T T"
W 3.0230 3.0230 3.0230
I 3.0230 0.0000 0.0000
I 0.0000 0.0000 3.0230
I 0.0000 3.0230 0.0000
Pb 0.0000 0.0000 0.0000
```

Energy relative to the elements, uncorrected (eV per atom): 1.2587
VASP energy (eV per atom): -49.8801


No. 5
Here is a PBEsol-optimized structure of BeSi3As from Alexandria. Energies are from meta-GGA SCAN.

extended XYZ file:
```
5
Lattice="-3.2726 -3.0409 1.3262 3.2983 -2.7820 1.7600 -0.3567 2.1746 4.1060" Properties=species:S:1:pos:R:3 pbc="T T T"
Si -0.1784 1.0873 2.0530
Si 1.6491 -1.3910 0.8800
Be -0.1655 -1.8241 3.5961
Si -1.6363 -1.5204 0.6631
As 0.0000 0.0000 0.0000
```

Energy relative to the elements, uncorrected (eV per atom): 1.5792
VASP energy (eV per atom): -9.3391


No. 6
Here is a PBEsol-optimized structure of Hf3ScMn from Alexandria. Energies are from meta-GGA SCAN.

extended XYZ file:
```
5
Lattice="-1.2535 -4.6105 -0.9517 3.4271 -0.2184 -3.4556 3.2276 -1.5586 3.2996" Properties=species:S:1:pos:R:3 pbc="T T T"
Hf -0.6267 -2.3053 -0.4759
Mn 2.7006 -3.1938 -0.5539
Sc 0.0000 0.0000 0.0000
Hf 1.7136 -0.1092 -1.7278
Hf 1.6138 -0.7793 1.6498
```

Formation energy (meV/atom): 1364
VASP energy (eV per atom): -42.7380


| no. | magnetic moment (μB per formula unit) |
| --- | --- |
| 1 | 8.6 |
| 2 | 0.0 |
| 3 | 0.0 |
| 4 | 5.2 |
| 5 | 0.0 |
| 6 | 3.6 |